VASP calculation (GGA+U) on a geometry-optimized Na2CrF6 structure.

Lattice parameters (Å, degrees): 5.0213 5.0213 9.9591 90.00 90.00 90.00
Site moments in Bohr magnetons follow the coordinates.
Fractional coordinates of all 18 atoms:
F: 0.8187 0.1813 0.8633  0.00
F: 0.2603 0.2603 0.0000  -0.03
Cr: 0.5000 0.5000 0.5000  2.04
F: 0.7603 0.2397 0.5000  -0.03
F: 0.3187 0.3187 0.3633  0.00
F: 0.1813 0.8187 0.1367  0.00
F: 0.6813 0.6813 0.6367  0.00
F: 0.8187 0.1813 0.1367  0.00
Na: 0.5000 0.5000 0.1656  0.00
Na: 0.0000 0.0000 0.3344  0.00
F: 0.1813 0.8187 0.8633  0.00
F: 0.2397 0.7603 0.5000  -0.03
Cr: 0.0000 0.0000 0.0000  2.04
F: 0.6813 0.6813 0.3633  0.00
F: 0.7397 0.7397 0.0000  -0.03
Na: 0.0000 0.0000 0.6656  0.00
F: 0.3187 0.3187 0.6367  0.00
Na: 0.5000 0.5000 0.8344  0.00

The density of states at the Fermi level is 0.00 states/eV per cell. The total energy comes out at -0.368 Ry/atom.